[1]
Computed, not measured: ThMgAu2 at its PBEsol-relaxed geometry at the meta-GGA SCAN level of DFT.

Structure (CIF):
```
data_ThMgAu2
_chemical_formula_sum 'Th3 Mg3 Au6'
_cell_length_a 4.7746
_cell_length_b 4.7746
_cell_length_c 13.2603
_cell_angle_alpha 90.00
_cell_angle_beta 90.00
_cell_angle_gamma 120.00
_space_group_name_H-M_alt 'R -3 m'
_space_group_IT_number 166
_space_group_name_Hall '-R 3 2"'
loop_
_atom_site_label
_atom_site_type_symbol
_atom_site_fract_x
_atom_site_fract_y
_atom_site_fract_z
_atom_site_occupancy
Th1 Th 0.0000 0.0000 0.0000 1
Mg1 Mg 0.0000 0.0000 0.5000 1
Au1 Au 0.0000 0.0000 0.2301 1
```

As for the crystal system: trigonal. The energy relative to the elements is -0.841 eV/atom. The density of states at the Fermi level comes out at 0.53 states/eV/atom.

[2]
Computed, not measured: Zn2SbIr at its PBEsol-relaxed geometry at the meta-GGA SCAN level of DFT.

Structure (CIF):
```
data_Zn2SbIr
_chemical_formula_sum 'Zn4 Sb2 Ir2'
_cell_length_a 4.109
_cell_length_b 3.201
_cell_length_c 10.093
_cell_angle_alpha 90.00
_cell_angle_beta 90.00
_cell_angle_gamma 90.00
_space_group_name_H-M_alt 'A m m 2'
_space_group_IT_number 38
_space_group_name_Hall 'A 2 -2'
loop_
_atom_site_label
_atom_site_type_symbol
_atom_site_fract_x
_atom_site_fract_y
_atom_site_fract_z
_atom_site_occupancy
Zn1 Zn 0.000 0.000 0.000 1
Zn2 Zn 0.500 0.000 0.434 1
Sb1 Sb 0.500 0.000 0.690 1
Ir1 Ir 0.000 0.000 0.280 1
```

The formation energy (no corrections) comes out at -0.005 eV/atom. As for the crystal system: orthorhombic. The density of states at the Fermi level comes out at 0.41 states/eV/atom.

[3]
Computed, not measured: Te2PtW at its PBEsol-relaxed geometry at the meta-GGA SCAN level of DFT.

Structure (CIF):
```
data_Te2PtW
_chemical_formula_sum 'Te2 Pt1 W1'
_cell_length_a 3.403
_cell_length_b 3.403
_cell_length_c 6.515
_cell_angle_alpha 90.00
_cell_angle_beta 90.00
_cell_angle_gamma 90.00
_space_group_name_H-M_alt 'P 4/m m m'
_space_group_IT_number 123
_space_group_name_Hall '-P 4 2'
loop_
_atom_site_label
_atom_site_type_symbol
_atom_site_fract_x
_atom_site_fract_y
_atom_site_fract_z
_atom_site_occupancy
Te1 Te 0.000 0.000 0.243 1
Pt1 Pt 0.500 0.500 0.500 1
W1 W 0.500 0.500 0.000 1
```

The formation energy (no corrections) comes out at 0.448 eV/atom. As for the crystal system: tetragonal. The density of states at the Fermi level comes out at 0.23 states/eV/atom.

[4]
Computed, not measured: SrCu2O3 at its PBEsol-relaxed geometry at the meta-GGA SCAN level of DFT.

Structure (CIF):
```
data_SrCu2O3
_chemical_formula_sum 'Sr2 Cu4 O6'
_cell_length_a 3.914
_cell_length_b 11.418
_cell_length_c 3.479
_cell_angle_alpha 90.00
_cell_angle_beta 90.00
_cell_angle_gamma 90.00
_space_group_name_H-M_alt 'C m m m'
_space_group_IT_number 65
_space_group_name_Hall '-C 2 2'
loop_
_atom_site_label
_atom_site_type_symbol
_atom_site_fract_x
_atom_site_fract_y
_atom_site_fract_z
_atom_site_occupancy
Sr1 Sr 0.000 0.000 0.000 1
Cu1 Cu 0.000 0.335 0.500 1
O1 O 0.000 0.170 0.500 1
O2 O 0.000 0.500 0.500 1
```

The formation energy (no corrections) comes out at -1.532 eV/atom. As for the crystal system: orthorhombic. The density of states at the Fermi level comes out at 0.28 states/eV/atom.

[5]
Computed, not measured: RbRh2Se2 at its PBEsol-relaxed geometry at the meta-GGA SCAN level of DFT.

Structure (CIF):
```
data_RbRh2Se2
_chemical_formula_sum 'Rb2 Rh4 Se4'
_cell_length_a 3.953
_cell_length_b 3.953
_cell_length_c 13.809
_cell_angle_alpha 90.00
_cell_angle_beta 90.00
_cell_angle_gamma 90.00
_space_group_name_H-M_alt 'I 4/m m m'
_space_group_IT_number 139
_space_group_name_Hall '-I 4 2'
loop_
_atom_site_label
_atom_site_type_symbol
_atom_site_fract_x
_atom_site_fract_y
_atom_site_fract_z
_atom_site_occupancy
Rb1 Rb 0.000 0.000 0.000 1
Rh1 Rh 0.000 0.500 0.250 1
Se1 Se 0.000 0.000 0.357 1
```

The formation energy (no corrections) comes out at -0.558 eV/atom. As for the crystal system: tetragonal. The density of states at the Fermi level comes out at 0.52 states/eV/atom.

[6]
Computed, not measured: Na2Ta2Bi at its PBEsol-relaxed geometry at the meta-GGA SCAN level of DFT.

Structure (CIF):
```
data_Na2Ta2Bi
_chemical_formula_sum 'Na4 Ta4 Bi2'
_cell_length_a 3.597
_cell_length_b 3.597
_cell_length_c 21.606
_cell_angle_alpha 90.00
_cell_angle_beta 90.00
_cell_angle_gamma 90.00
_space_group_name_H-M_alt 'I 4/m m m'
_space_group_IT_number 139
_space_group_name_Hall '-I 4 2'
loop_
_atom_site_label
_atom_site_type_symbol
_atom_site_fract_x
_atom_site_fract_y
_atom_site_fract_z
_atom_site_occupancy
Na1 Na 0.000 0.000 0.110 1
Ta1 Ta 0.000 0.500 0.250 1
Bi1 Bi 0.000 0.000 0.500 1
```

As for the crystal system: tetragonal. The energy relative to the elements is 0.645 eV/atom. The density of states at the Fermi level comes out at 0.63 states/eV/atom.

[7]
Computed, not measured: Zr2TeSe at its PBEsol-relaxed geometry at the meta-GGA SCAN level of DFT.

Structure (CIF):
```
data_Zr2TeSe
_chemical_formula_sum 'Zr8 Te4 Se4'
_cell_length_a 6.850
_cell_length_b 6.850
_cell_length_c 6.850
_cell_angle_alpha 90.00
_cell_angle_beta 90.00
_cell_angle_gamma 90.00
_space_group_name_H-M_alt 'F m -3 m'
_space_group_IT_number 225
_space_group_name_Hall '-F 4 2 3'
loop_
_atom_site_label
_atom_site_type_symbol
_atom_site_fract_x
_atom_site_fract_y
_atom_site_fract_z
_atom_site_occupancy
Zr1 Zr 0.250 0.250 0.250 1
Te1 Te 0.000 0.000 0.000 1
Se1 Se 0.000 0.000 0.500 1
```

The formation energy (no corrections) comes out at -1.010 eV/atom. As for the crystal system: cubic. The density of states at the Fermi level comes out at 0.27 states/eV/atom.

[8]
Computed, not measured: Na2EuGeSe4 at its PBEsol-relaxed geometry at the meta-GGA SCAN level of DFT.

Structure (CIF):
```
data_Na2EuGeSe4
_chemical_formula_sum 'Na4 Eu2 Ge2 Se8'
_cell_length_a 7.198
_cell_length_b 7.198
_cell_length_c 7.318
_cell_angle_alpha 90.00
_cell_angle_beta 90.00
_cell_angle_gamma 90.00
_space_group_name_H-M_alt 'I -4 2 m'
_space_group_IT_number 121
_space_group_name_Hall 'I -4 2'
loop_
_atom_site_label
_atom_site_type_symbol
_atom_site_fract_x
_atom_site_fract_y
_atom_site_fract_z
_atom_site_occupancy
Na1 Na 0.000 0.500 0.000 1
Eu1 Eu 0.000 0.000 0.000 1
Ge1 Ge 0.000 0.000 0.500 1
Se1 Se 0.194 0.194 0.686 1
```

The formation energy (no corrections) comes out at -1.192 eV/atom. As for the crystal system: tetragonal. The density of states at the Fermi level comes out at 1.47 states/eV/atom.

[9]
Computed, not measured: Ta2RuPtRh at its PBEsol-relaxed geometry at the meta-GGA SCAN level of DFT.

Structure (CIF):
```
data_Ta2RuPtRh
_chemical_formula_sum 'Ta2 Ru1 Pt1 Rh1'
_cell_length_a 4.624
_cell_length_b 4.624
_cell_length_c 4.560
_cell_angle_alpha 90.00
_cell_angle_beta 90.00
_cell_angle_gamma 90.00
_space_group_name_H-M_alt 'P 4/m m m'
_space_group_IT_number 123
_space_group_name_Hall '-P 4 2'
loop_
_atom_site_label
_atom_site_type_symbol
_atom_site_fract_x
_atom_site_fract_y
_atom_site_fract_z
_atom_site_occupancy
Ta1 Ta 0.000 0.500 0.000 1
Ru1 Ru 0.000 0.000 0.000 1
Pt1 Pt 0.500 0.500 0.500 1
Rh1 Rh 0.000 0.000 0.500 1
```

As for the crystal system: tetragonal. The energy relative to the elements is 1.181 eV/atom. The density of states at the Fermi level comes out at 1.04 states/eV/atom.

[10]
Computed, not measured: KTeBr2 at its PBEsol-relaxed geometry at the meta-GGA SCAN level of DFT.

Structure (CIF):
```
data_KTeBr2
_chemical_formula_sum 'K4 Te4 Br8'
_cell_length_a 5.695
_cell_length_b 5.695
_cell_length_c 18.929
_cell_angle_alpha 90.00
_cell_angle_beta 90.00
_cell_angle_gamma 90.00
_space_group_name_H-M_alt 'I -4 2 d'
_space_group_IT_number 122
_space_group_name_Hall 'I -4 2bw'
loop_
_atom_site_label
_atom_site_type_symbol
_atom_site_fract_x
_atom_site_fract_y
_atom_site_fract_z
_atom_site_occupancy
K1 K 0.000 0.000 0.000 1
Te1 Te 0.000 0.000 0.500 1
Br1 Br 0.183 0.250 0.625 1
```

The formation energy (no corrections) comes out at -0.663 eV/atom. As for the crystal system: tetragonal. The density of states at the Fermi level comes out at 0.48 states/eV/atom.

[11]
Computed, not measured: TcOs2Pt at its PBEsol-relaxed geometry at the meta-GGA SCAN level of DFT.

Structure (CIF):
```
data_TcOs2Pt
_chemical_formula_sum 'Tc1 Os2 Pt1'
_cell_length_a 2.699
_cell_length_b 3.868
_cell_length_c 5.430
_cell_angle_alpha 90.00
_cell_angle_beta 90.00
_cell_angle_gamma 90.00
_space_group_name_H-M_alt 'P m m 2'
_space_group_IT_number 25
_space_group_name_Hall 'P 2 -2'
loop_
_atom_site_label
_atom_site_type_symbol
_atom_site_fract_x
_atom_site_fract_y
_atom_site_fract_z
_atom_site_occupancy
Tc1 Tc 0.000 0.000 0.000 1
Os1 Os 0.000 0.000 0.476 1
Os2 Os 0.500 0.500 0.243 1
Pt1 Pt 0.500 0.500 0.742 1
```

As for the crystal system: orthorhombic. The energy relative to the elements is 0.005 eV/atom. The density of states at the Fermi level comes out at 0.77 states/eV/atom.

[12]
Computed, not measured: Zr2ReTc at its PBEsol-relaxed geometry at the meta-GGA SCAN level of DFT.

Structure (CIF):
```
data_Zr2ReTc
_chemical_formula_sum 'Zr2 Re1 Tc1'
_cell_length_a 3.252
_cell_length_b 3.252
_cell_length_c 6.511
_cell_angle_alpha 90.00
_cell_angle_beta 90.00
_cell_angle_gamma 90.00
_space_group_name_H-M_alt 'P 4/m m m'
_space_group_IT_number 123
_space_group_name_Hall '-P 4 2'
loop_
_atom_site_label
_atom_site_type_symbol
_atom_site_fract_x
_atom_site_fract_y
_atom_site_fract_z
_atom_site_occupancy
Zr1 Zr 0.000 0.000 0.249 1
Re1 Re 0.500 0.500 0.500 1
Tc1 Tc 0.500 0.500 0.000 1
```

As for the crystal system: tetragonal. The energy relative to the elements is -0.384 eV/atom. The density of states at the Fermi level comes out at 0.75 states/eV/atom.